The following is a GGA-PBE calculation of a geometry-optimized Ir2OsPtAu structure, from Alexandria.

Cell lengths 4.8023, 4.8023, 4.8417 Å; angles 90.00, 90.00, 90.00 degrees
With the nearest neighbours (Å) after each atom.
Fractional coordinates of all 5 atoms:
Ir (0.0000, 0.5000, 0.0000)  2 Au 2.40
Ir (0.5000, 0.0000, 0.0000)  2 Au 2.40
Os (0.0000, 0.0000, 0.5000)  4 Pt 3.40, 8 Ir 3.41
Pt (0.5000, 0.5000, 0.5000)  2 Au 2.42
Au (0.5000, 0.5000, 0.0000)  4 Ir 2.40, 2 Pt 2.42

## Properties
**E**: -4.92 eV/atom
**Crystal system**: tetragonal
**Symmetry**: No. 123
**Formation enthalpy at 0 K**: 2738 meV/atom